The following is a PBE calculation of a relaxed UFe2Ge2 crystal, from the Alexandria database.

Calculated formation energy in eV/atom: -0.239
Energy in eV/cell: -38.65
Total magnetization in μB per formula unit: 1.118
Fermi-level density of states in states/eV per cell: 4.970

Lattice parameters (Å, degrees): 5.5949 5.5949 5.5949 137.62 137.62 61.49
With the nearest neighbours (Å) after each atom.
Positions (direct):
U: 0.0000 0.0000 0.0000  8 Ge 3.12, 8 Fe 3.14
Fe: 0.7500 0.2500 0.5000  4 Ge 2.33
Fe: 0.2500 0.7500 0.5000  4 Ge 2.33
Ge: 0.6296 0.6296 0.0000  4 Fe 2.33, 1 Ge 2.49
Ge: 0.3704 0.3704 0.0000  4 Fe 2.33, 1 Ge 2.49

***

The following is a PBE calculation of a relaxed SrLa2MgPd crystal, from the Alexandria database.

Calculated formation energy in eV/atom: -0.151
Energy in eV/cell: -19.08
Offset from the most stable computed form in meV per atom: 84
Total magnetization in μB per formula unit: 0.001
Fermi-level density of states in states/eV per cell: 6.933

Lattice parameters (Å, degrees): 5.6510 5.6510 6.0405 90.00 90.00 90.00
With the nearest neighbours (Å) after each atom.
Positions (direct):
Sr: 0.0000 0.0000 0.5000  2 Pd 3.02
Mg: 0.5000 0.5000 0.5000  4 Sr 4.00, 8 La 4.14
Pd: 0.0000 0.0000 0.0000  4 La 2.83, 2 Sr 3.02
La: 0.0000 0.5000 0.0000  2 Pd 2.83
La: 0.5000 0.0000 0.0000  2 Pd 2.83

***

The following is a PBE calculation of a relaxed Tl3Pd5 crystal, from the Alexandria database.

Calculated formation energy in eV/atom: -0.185
Energy in eV/cell: -34.55
Total magnetization in μB per formula unit: 0.000
Fermi-level density of states in states/eV per cell: 3.094

Lattice parameters (Å, degrees): 4.2609 5.8625 5.8625 95.66 90.00 90.00
With the nearest neighbours (Å) after each atom.
Positions (direct):
Tl: 0.0000 0.5000 0.5000  8 Pd 2.78-2.93
Tl: 0.5000 0.7844 0.2156  10 Pd 2.84-3.05
Tl: 0.5000 0.2156 0.7844  10 Pd 2.84-3.05
Pd: 0.0000 0.0000 0.0000  4 Tl 2.84, 8 Pd 2.93-3.02
Pd: 0.0000 0.0000 0.5000  6 Tl 2.92-2.93, 6 Pd 2.93-3.05
Pd: 0.0000 0.5000 0.0000  6 Tl 2.92-2.93, 6 Pd 2.93-3.05
Pd: 0.5000 0.2728 0.2728  6 Tl 2.78-3.05, 6 Pd 3.02-3.05
Pd: 0.5000 0.7272 0.7272  6 Tl 2.78-3.05, 6 Pd 3.02-3.05

***

The following is a PBE calculation of a relaxed BeGeHI2 crystal, from the Alexandria database.

Energy in eV/cell: -11.66
Total magnetization in μB per formula unit: 1.000
Fermi-level density of states in states/eV per cell: 0.078

Lattice parameters (Å, degrees): 5.8657 4.3474 5.8657 90.00 90.00 90.00
With the nearest neighbours (Å) after each atom.
Positions (direct):
I: 0.0000 0.0000 0.5000  2 Ge 2.93
I: 0.5000 0.0000 0.0000  2 Ge 2.93
Be: 0.0000 0.5000 0.0000  2 Ge 2.17
Ge: 0.0000 0.0000 0.0000  2 Be 2.17
H: 0.5000 0.5000 0.5000  8 I 3.65

***

The following is a PBE calculation of a relaxed Pm2Ho3Hg2 crystal, from the Alexandria database.

Calculated formation energy in eV/atom: -0.233
Energy in eV/cell: -25.47
Total magnetization in μB per formula unit: 0.000
Fermi-level density of states in states/eV per cell: 8.154

Lattice parameters (Å, degrees): 5.4074 5.4086 8.5646 108.38 90.00 119.99
With the nearest neighbours (Å) after each atom.
Positions (direct):
Pm: 0.9242 0.8483 0.2723  4 Hg 3.29-3.31, 3 Ho 3.51, 1 Pm 3.63
Pm: 0.0758 0.1517 0.7277  4 Hg 3.29-3.31, 3 Ho 3.51, 1 Pm 3.63
Ho: 0.5000 0.0000 0.0000  6 Hg 3.32
Ho: 0.6576 0.3152 0.4726  1 Hg 3.07, 3 Ho 3.15
Ho: 0.3424 0.6848 0.5274  1 Hg 3.07, 3 Ho 3.15
Hg: 0.7859 0.5719 0.8577  4 Ho 3.07-3.32, 4 Pm 3.29-3.31
Hg: 0.2141 0.4281 0.1423  4 Ho 3.07-3.32, 4 Pm 3.29-3.31

***

The following is a PBE calculation of a relaxed Te4MoAu crystal, from the Alexandria database.

Energy in eV/cell: -26.19
Offset from the most stable computed form in meV per atom: 0
Total magnetization in μB per formula unit: 0.000
Fermi-level density of states in states/eV per cell: 3.128
Uncorrected formation energy in meV per atom: 81

Lattice parameters (Å, degrees): 7.0765 5.1226 8.6898 111.66 134.05 96.66
With the nearest neighbours (Å) after each atom.
Positions (direct):
Te: 0.2767 0.3161 0.4814  1 Mo 2.64
Te: 0.7798 0.7398 0.5073  2 Mo 2.70-3.00, 1 Au 2.76
Te: 0.3285 0.8537 0.0655  2 Mo 2.69-2.88, 1 Au 2.72
Te: 0.7757 0.2381 0.9490  1 Mo 2.67, 1 Au 2.72
Mo: 0.7470 0.2830 0.6379  5 Te 2.64-2.88
Au: 0.3423 0.3193 0.8589  4 Te 2.72-2.97

***

The following is a PBE calculation of a relaxed MgSn2PdPb crystal, from the Alexandria database.

Calculated formation energy in eV/atom: 0.624
Energy in eV/cell: -15.38
Total magnetization in μB per formula unit: 0.000
Fermi-level density of states in states/eV per cell: 2.503

Lattice parameters (Å, degrees): 5.7795 5.1166 5.7795 90.00 90.00 90.00
With the nearest neighbours (Å) after each atom.
Positions (direct):
Pb: 0.0000 0.0000 0.0000  2 Pd 2.56
Mg: 0.5000 0.5000 0.5000  8 Sn 3.86, 4 Pd 4.09
Sn: 0.0000 0.0000 0.5000  2 Pb 2.89
Sn: 0.5000 0.0000 0.0000  2 Pb 2.89
Pd: 0.0000 0.5000 0.0000  2 Pb 2.56

***

The following is a PBE calculation of a relaxed SmPuP crystal, from the Alexandria database.

Calculated formation energy in eV/atom: -0.686
Energy in eV/cell: -26.52
Total magnetization in μB per formula unit: 6.230
Fermi-level density of states in states/eV per cell: 8.343

Lattice parameters (Å, degrees): 6.5748 3.8411 3.8411 120.00 90.00 90.00
With the nearest neighbours (Å) after each atom.
Positions (direct):
P: 0.3299 0.3333 0.6667  3 Pu 2.77, 3 Sm 2.81
Sm: 0.5935 0.6667 0.3333  3 P 2.81
Pu: 0.0766 0.0000 0.0000  3 P 2.77